(1)
The following is a GGA-PBEsol calculation of an optimized crystal structure of KIrS2, from Alexandria via LeMat-Bulk.

Structure (CIF):
```
data_KIrS2
_chemical_formula_sum 'K4 Ir4 S8'
_cell_length_a 6.417
_cell_length_b 6.417
_cell_length_c 6.417
_cell_angle_alpha 90.00
_cell_angle_beta 90.00
_cell_angle_gamma 90.00
_space_group_name_H-M_alt 'F m -3 m'
_space_group_IT_number 225
_space_group_name_Hall '-F 4 2 3'
loop_
_atom_site_label
_atom_site_fract_x
_atom_site_fract_y
_atom_site_fract_z
K1 0.000 0.000 0.000
Ir1 0.000 0.000 0.500
S1 0.250 0.250 0.250
```



(2)
The following is a GGA-PBEsol calculation of an optimized crystal structure of K3IrS, from Alexandria via LeMat-Bulk.

Structure (CIF):
```
data_K3IrS
_chemical_formula_sum 'K3 Ir1 S1'
_cell_length_a 5.809
_cell_length_b 5.809
_cell_length_c 5.809
_cell_angle_alpha 90.00
_cell_angle_beta 90.00
_cell_angle_gamma 90.00
_space_group_name_H-M_alt 'P m -3 m'
_space_group_IT_number 221
_space_group_name_Hall '-P 4 2 3'
loop_
_atom_site_label
_atom_site_fract_x
_atom_site_fract_y
_atom_site_fract_z
K1 0.000 0.000 0.500
Ir1 0.000 0.000 0.000
S1 0.500 0.500 0.500
```



(3)
The following is a GGA-PBEsol calculation of an optimized crystal structure of KSbIr, from Alexandria via LeMat-Bulk.

Structure (CIF):
```
data_KSbIr
_chemical_formula_sum 'K2 Sb2 Ir2'
_cell_length_a 3.435
_cell_length_b 3.435
_cell_length_c 12.500
_cell_angle_alpha 90.00
_cell_angle_beta 90.00
_cell_angle_gamma 90.00
_space_group_name_H-M_alt 'I 4 m m'
_space_group_IT_number 107
_space_group_name_Hall 'I 4 -2'
loop_
_atom_site_label
_atom_site_fract_x
_atom_site_fract_y
_atom_site_fract_z
K1 0.000 0.000 0.000
Sb1 0.000 0.000 0.716
Ir1 0.000 0.000 0.301
```



(4)
The following is a GGA-PBEsol calculation of an optimized crystal structure of KSb2Ir, from Alexandria via LeMat-Bulk.

Structure (CIF):
```
data_KSb2Ir
_chemical_formula_sum 'K3 Sb6 Ir3'
_cell_length_a 4.2268
_cell_length_b 4.2268
_cell_length_c 21.2699
_cell_angle_alpha 90.00
_cell_angle_beta 90.00
_cell_angle_gamma 120.00
_space_group_name_H-M_alt 'R -3 m'
_space_group_IT_number 166
_space_group_name_Hall '-R 3 2"'
loop_
_atom_site_label
_atom_site_fract_x
_atom_site_fract_y
_atom_site_fract_z
K1 0.0000 0.0000 0.0000
Sb1 0.0000 0.0000 0.2174
Ir1 0.0000 0.0000 0.5000
```

Calculated values
For the polymorph energy (0 for the lowest one), the calculation gives 0.0 kJ per mole of atoms.



(5)
The following is a GGA-PBEsol calculation of an optimized crystal structure of K2SbIr, from Alexandria via LeMat-Bulk.

Structure (CIF):
```
data_K2SbIr
_chemical_formula_sum 'K8 Sb4 Ir4'
_cell_length_a 7.211
_cell_length_b 7.211
_cell_length_c 7.211
_cell_angle_alpha 90.00
_cell_angle_beta 90.00
_cell_angle_gamma 90.00
_space_group_name_H-M_alt 'F -4 3 m'
_space_group_IT_number 216
_space_group_name_Hall 'F -4 2 3'
loop_
_atom_site_label
_atom_site_fract_x
_atom_site_fract_y
_atom_site_fract_z
K1 0.000 0.000 0.000
K2 0.250 0.250 0.250
Sb1 0.000 0.000 0.500
Ir1 0.250 0.250 0.750
```



(6)
The following is a GGA-PBEsol calculation of an optimized crystal structure of KSb2Ir, from Alexandria via LeMat-Bulk.

Structure (CIF):
```
data_KSb2Ir
_chemical_formula_sum 'K2 Sb4 Ir2'
_cell_length_a 3.121
_cell_length_b 5.975
_cell_length_c 10.846
_cell_angle_alpha 90.00
_cell_angle_beta 90.00
_cell_angle_gamma 90.00
_space_group_name_H-M_alt 'I m m m'
_space_group_IT_number 71
_space_group_name_Hall '-I 2 2'
loop_
_atom_site_label
_atom_site_fract_x
_atom_site_fract_y
_atom_site_fract_z
K1 0.000 0.000 0.000
Sb1 0.000 0.500 0.195
Ir1 0.000 0.000 0.500
```

Calculated values
For the polymorph energy (0 for the lowest one), the calculation gives 22.7 kJ per mole of atoms.



(7)
The following is a GGA-PBEsol calculation of an optimized crystal structure of K2ScIr2, from Alexandria via LeMat-Bulk.

Structure (CIF):
```
data_K2ScIr2
_chemical_formula_sum 'K4 Sc2 Ir4'
_cell_length_a 5.032
_cell_length_b 5.032
_cell_length_c 8.934
_cell_angle_alpha 90.00
_cell_angle_beta 90.00
_cell_angle_gamma 90.00
_space_group_name_H-M_alt 'I 4/m m m'
_space_group_IT_number 139
_space_group_name_Hall '-I 4 2'
loop_
_atom_site_label
_atom_site_fract_x
_atom_site_fract_y
_atom_site_fract_z
K1 0.000 0.000 0.137
Sc1 0.000 0.000 0.500
Ir1 0.000 0.500 0.250
```

Calculated values
As for the formation energy: 1.474 eV/atom.



(8)
The following is a GGA-PBEsol calculation of an optimized crystal structure of KScTa2Ir, from Alexandria via LeMat-Bulk.

Structure (CIF):
```
data_KScTa2Ir
_chemical_formula_sum 'K1 Sc1 Ta2 Ir1'
_cell_length_a 4.562
_cell_length_b 4.562
_cell_length_c 4.347
_cell_angle_alpha 90.00
_cell_angle_beta 90.00
_cell_angle_gamma 90.00
_space_group_name_H-M_alt 'P 4/m m m'
_space_group_IT_number 123
_space_group_name_Hall '-P 4 2'
loop_
_atom_site_label
_atom_site_fract_x
_atom_site_fract_y
_atom_site_fract_z
K1 0.000 0.000 0.000
Sc1 0.000 0.000 0.500
Ta1 0.000 0.500 0.000
Ir1 0.500 0.500 0.500
```

Calculated values
As for the formation energy: 2.406 eV/atom.



(9)
The following is a GGA-PBEsol calculation of an optimized crystal structure of KIr2Se, from Alexandria via LeMat-Bulk.

Structure (CIF):
```
data_KIr2Se
_chemical_formula_sum 'K2 Ir4 Se2'
_cell_length_a 2.815
_cell_length_b 5.451
_cell_length_c 10.173
_cell_angle_alpha 90.00
_cell_angle_beta 90.00
_cell_angle_gamma 90.00
_space_group_name_H-M_alt 'I m m 2'
_space_group_IT_number 44
loop_
_space_group_symop_operation_xyz
'x,y,z'
'-x,-y,z'
'-x,y,z'
'x,-y,z'
'x+1/2,y+1/2,z+1/2'
'-x+1/2,-y+1/2,z+1/2'
'-x+1/2,y+1/2,z+1/2'
'x+1/2,-y+1/2,z+1/2'
loop_
_atom_site_label
_atom_site_fract_x
_atom_site_fract_y
_atom_site_fract_z
K1 0.000 0.000 0.000
Ir1 0.000 0.000 0.477
Ir2 0.000 0.500 0.190
Se1 0.000 0.500 0.786
```



(10)
The following is a GGA-PBEsol calculation of an optimized crystal structure of K2IrSe, from Alexandria via LeMat-Bulk.

Structure (CIF):
```
data_K2IrSe
_chemical_formula_sum 'K4 Ir2 Se2'
_cell_length_a 4.080
_cell_length_b 4.080
_cell_length_c 10.014
_cell_angle_alpha 90.00
_cell_angle_beta 90.00
_cell_angle_gamma 90.00
_space_group_name_H-M_alt 'I 4/m m m'
_space_group_IT_number 139
_space_group_name_Hall '-I 4 2'
loop_
_atom_site_label
_atom_site_fract_x
_atom_site_fract_y
_atom_site_fract_z
K1 0.000 0.500 0.250
Ir1 0.000 0.000 0.000
Se1 0.000 0.000 0.500
```



(11)
The following is a GGA-PBEsol calculation of an optimized crystal structure of KTa2IrSe, from Alexandria via LeMat-Bulk.

Structure (CIF):
```
data_KTa2IrSe
_chemical_formula_sum 'K1 Ta2 Ir1 Se1'
_cell_length_a 4.686
_cell_length_b 4.686
_cell_length_c 5.113
_cell_angle_alpha 90.00
_cell_angle_beta 90.00
_cell_angle_gamma 90.00
_space_group_name_H-M_alt 'P 4/m m m'
_space_group_IT_number 123
_space_group_name_Hall '-P 4 2'
loop_
_atom_site_label
_atom_site_fract_x
_atom_site_fract_y
_atom_site_fract_z
K1 0.000 0.000 0.000
Ta1 0.000 0.500 0.500
Ir1 0.500 0.500 0.000
Se1 0.000 0.000 0.500
```



(12)
The following is a GGA-PBEsol calculation of an optimized crystal structure of KSiIr3, from Alexandria via LeMat-Bulk.

Structure (CIF):
```
data_KSiIr3
_chemical_formula_sum 'K1 Si1 Ir3'
_cell_length_a 4.506
_cell_length_b 4.506
_cell_length_c 4.506
_cell_angle_alpha 90.00
_cell_angle_beta 90.00
_cell_angle_gamma 90.00
_space_group_name_H-M_alt 'P m -3 m'
_space_group_IT_number 221
_space_group_name_Hall '-P 4 2 3'
loop_
_atom_site_label
_atom_site_fract_x
_atom_site_fract_y
_atom_site_fract_z
K1 0.000 0.000 0.000
Si1 0.500 0.500 0.500
Ir1 0.000 0.500 0.500
```



(13)
The following is a GGA-PBEsol calculation of an optimized crystal structure of K2SiIr, from Alexandria via LeMat-Bulk.

Structure (CIF):
```
data_K2SiIr
_chemical_formula_sum 'K4 Si2 Ir2'
_cell_length_a 5.031
_cell_length_b 10.733
_cell_length_c 3.176
_cell_angle_alpha 90.00
_cell_angle_beta 103.96
_cell_angle_gamma 90.00
_space_group_name_H-M_alt 'C 1 2/m 1'
_space_group_IT_number 12
loop_
_space_group_symop_operation_xyz
'x,y,z'
'-x,-y,-z'
'-x,y,-z'
'x,-y,z'
'x+1/2,y+1/2,z'
'-x+1/2,-y+1/2,-z'
'-x+1/2,y+1/2,-z'
'x+1/2,-y+1/2,z'
loop_
_atom_site_label
_atom_site_fract_x
_atom_site_fract_y
_atom_site_fract_z
K1 0.250 0.250 0.000
Si1 0.000 0.000 0.500
Ir1 0.000 0.500 0.500
```



(14)
The following is a GGA-PBEsol calculation of an optimized crystal structure of KSi2Ir, from Alexandria via LeMat-Bulk.

Structure (CIF):
```
data_KSi2Ir
_chemical_formula_sum 'K2 Si4 Ir2'
_cell_length_a 5.652
_cell_length_b 9.126
_cell_length_c 2.621
_cell_angle_alpha 90.00
_cell_angle_beta 90.00
_cell_angle_gamma 90.00
_space_group_name_H-M_alt 'C m m m'
_space_group_IT_number 65
_space_group_name_Hall '-C 2 2'
loop_
_atom_site_label
_atom_site_fract_x
_atom_site_fract_y
_atom_site_fract_z
K1 0.000 0.000 0.000
Si1 0.250 0.250 0.500
Ir1 0.000 0.500 0.000
```



(15)
The following is a GGA-PBEsol calculation of an optimized crystal structure of K2SiIr, from Alexandria via LeMat-Bulk.

Structure (CIF):
```
data_K2SiIr
_chemical_formula_sum 'K2 Si1 Ir1'
_cell_length_a 3.179
_cell_length_b 3.179
_cell_length_c 10.209
_cell_angle_alpha 90.00
_cell_angle_beta 90.00
_cell_angle_gamma 90.00
_space_group_name_H-M_alt 'P 4 m m'
_space_group_IT_number 99
loop_
_space_group_symop_operation_xyz
'x,y,z'
'-y,x,z'
'-x,-y,z'
'y,-x,z'
'-x,y,z'
'y,x,z'
'x,-y,z'
'-y,-x,z'
loop_
_atom_site_label
_atom_site_fract_x
_atom_site_fract_y
_atom_site_fract_z
K1 0.000 0.000 0.000
K2 0.500 0.500 0.425
Si1 0.000 0.000 0.664
Ir1 0.500 0.500 0.762
```



| no. | Fermi-level density of states (states/eV per atom) | total magnetization (μB per formula unit) | calculated total energy (eV per atom) |
| --- | --- | --- | --- |
| 1 | 0.52 | 0.0 | -4.63 |
| 2 | 1.81 | 2.0 | -2.81 |
| 3 | 0.37 | 0.0 | -5.15 |
| 4 | 0.63 | 0.0 | -5.28 |
| 5 | 1.17 | 0.0 | -3.69 |
| 6 | 0.27 | 0.0 | -5.05 |
| 7 | 0.48 | 0.0 | -4.23 |
| 8 | 1.20 | 0.0 | -6.13 |
| 9 | 0.81 | 0.0 | -5.59 |
| 10 | 0.64 | 0.0 | -3.66 |
| 11 | 0.94 | 0.0 | -6.49 |
| 12 | 0.96 | 0.0 | -6.49 |
| 13 | 0.27 | 0.0 | -3.79 |
| 14 | 0.65 | 0.0 | -4.88 |
| 15 | 0.38 | 0.0 | -4.39 |